# 1
This record from the Alexandria database describes an optimized crystal structure of SiNi2P. The functional is PBE.

Summary:
- uncorrected formation energy (eV/f.u.) = -0.6
- symmetry = P4/mmm (123)

Cell: 3.803 3.803 3.225 Å, 90.00 90.00 90.00°
Atoms (fractional coordinates):
1 Si 0.000 0.000 0.000
2 Ni 0.000 0.500 0.500
3 Ni 0.500 0.000 0.500
4 P 0.500 0.500 0.000


# 2
This record from the Alexandria database describes an optimized crystal structure of SiNi2P. The functional is PBE.

Summary:
- uncorrected formation energy (eV/f.u.) = -0.9
- symmetry = Cm (8)

Cell: 8.840 2.684 3.968 Å, 90.00 93.00 90.00°
Atoms (fractional coordinates):
1 Si 0.000 0.000 0.000
2 Si 0.500 0.500 0.000
3 Ni 0.021 0.500 0.510
4 Ni 0.260 0.000 0.789
5 Ni 0.521 0.000 0.510
6 Ni 0.760 0.500 0.789
7 P 0.261 0.500 0.304
8 P 0.761 0.000 0.304


# 3
This record from the Alexandria database describes an optimized crystal structure of Si3NiP. The functional is PBE.

Summary:
- uncorrected formation energy (eV/f.u.) = 2.3
- symmetry = Pm-3m (221)

Cell: 4.362 4.362 4.362 Å, 90.00 90.00 90.00°
Atoms (fractional coordinates):
1 Si 0.000 0.000 0.500
2 Si 0.000 0.500 0.000
3 Si 0.500 0.000 0.000
4 Ni 0.000 0.000 0.000
5 P 0.500 0.500 0.500


# 4
This record from the Alexandria database describes an optimized crystal structure of SiNiP2. The functional is PBE.

Summary:
- uncorrected formation energy (eV/f.u.) = 1.0
- symmetry = R-3m (166)

Cell: 2.834 2.834 23.744 Å, 90.00 90.00 120.00°
Atoms (fractional coordinates):
1 Si 0.000 0.000 0.000
2 Si 0.333 0.667 0.667
3 Si 0.667 0.333 0.333
4 Ni 0.000 0.000 0.500
5 Ni 0.333 0.667 0.167
6 Ni 0.667 0.333 0.833
7 P 0.000 0.000 0.238
8 P 0.000 0.000 0.762
9 P 0.333 0.667 0.429
10 P 0.333 0.667 0.904
11 P 0.667 0.333 0.096
12 P 0.667 0.333 0.571


# 5
This record from the Alexandria database describes an optimized crystal structure of SiNiP2. The functional is PBE.

Summary:
- uncorrected formation energy (eV/f.u.) = -0.2
- symmetry = P2/m (10)

Cell: 4.099 3.378 4.263 Å, 90.00 105.88 90.00°
Atoms (fractional coordinates):
1 Si 0.000 0.000 0.000
2 Ni 0.500 0.000 0.500
3 P 0.237 0.500 0.696
4 P 0.763 0.500 0.304


# 6
This record from the Alexandria database describes an optimized crystal structure of SiNi2P. The functional is PBE.

Summary:
- uncorrected formation energy (eV/f.u.) = 0.2
- symmetry = I-42d (122)

Cell: 5.447 5.447 8.679 Å, 90.00 90.00 90.00°
Atoms (fractional coordinates):
1 Si 0.000 0.000 0.000
2 Si 0.000 0.500 0.250
3 Si 0.500 0.000 0.750
4 Si 0.500 0.500 0.500
5 Ni 0.234 0.250 0.625
6 Ni 0.250 0.734 0.875
7 Ni 0.250 0.766 0.375
8 Ni 0.266 0.250 0.125
9 Ni 0.734 0.750 0.125
10 Ni 0.750 0.234 0.375
11 Ni 0.750 0.266 0.875
12 Ni 0.766 0.750 0.625
13 P 0.000 0.000 0.500
14 P 0.000 0.500 0.750
15 P 0.500 0.000 0.250
16 P 0.500 0.500 0.000


# 7
This record from the Alexandria database describes an optimized crystal structure of SiNiP2. The functional is PBE.

Summary:
- uncorrected formation energy (eV/f.u.) = 0.1
- symmetry = I4/mmm (139)

Cell: 4.762 4.762 4.874 Å, 90.00 90.00 90.00°
Atoms (fractional coordinates):
1 Si 0.000 0.000 0.000
2 Si 0.500 0.500 0.500
3 Ni 0.000 0.000 0.500
4 Ni 0.500 0.500 0.000
5 P 0.000 0.500 0.000
6 P 0.000 0.500 0.500
7 P 0.500 0.000 0.000
8 P 0.500 0.000 0.500


# 8
This record from the Alexandria database describes an optimized crystal structure of SiNi2P. The functional is PBE.

Summary:
- uncorrected formation energy (eV/f.u.) = 0.5
- symmetry = F-43m (216)

Cell: 5.768 5.768 5.768 Å, 90.00 90.00 90.00°
Atoms (fractional coordinates):
1 Si 0.000 0.000 0.000
2 Si 0.000 0.500 0.500
3 Si 0.500 0.000 0.500
4 Si 0.500 0.500 0.000
5 Ni 0.000 0.000 0.500
6 Ni 0.000 0.500 0.000
7 Ni 0.250 0.250 0.250
8 Ni 0.250 0.750 0.750
9 Ni 0.500 0.000 0.000
10 Ni 0.500 0.500 0.500
11 Ni 0.750 0.250 0.750
12 Ni 0.750 0.750 0.250
13 P 0.250 0.250 0.750
14 P 0.250 0.750 0.250
15 P 0.750 0.250 0.250
16 P 0.750 0.750 0.750


# 9
This record from the Alexandria database describes an optimized crystal structure of SiNiP2. The functional is PBE.

Summary:
- uncorrected formation energy (eV/f.u.) = -0.5
- symmetry = P1 (1)

Cell: 3.491 3.825 4.960 Å, 100.75 90.15 117.08°
Atoms (fractional coordinates):
1 Si 0.000 0.000 0.000
2 Ni 0.909 0.810 0.528
3 P 0.344 0.683 0.217
4 P 0.619 0.233 0.676


# 10
This record from the Alexandria database describes an optimized crystal structure of SiNi2P. The functional is PBE.

Summary:
- uncorrected formation energy (eV/f.u.) = -0.4
- symmetry = R3m (160)

Cell: 2.869 2.869 20.848 Å, 90.00 90.00 120.00°
Atoms (fractional coordinates):
1 Si 0.000 0.000 0.000
2 Si 0.333 0.667 0.667
3 Si 0.667 0.333 0.333
4 Ni 0.000 0.000 0.505
5 Ni 0.000 0.000 0.742
6 Ni 0.333 0.667 0.172
7 Ni 0.333 0.667 0.408
8 Ni 0.667 0.333 0.075
9 Ni 0.667 0.333 0.839
10 P 0.000 0.000 0.242
11 P 0.333 0.667 0.909
12 P 0.667 0.333 0.576


# 11
This record from the Alexandria database describes an optimized crystal structure of SiNi2P. The functional is PBE.

Summary:
- uncorrected formation energy (eV/f.u.) = -0.5
- symmetry = Cmmm (65)

Cell: 5.342 6.410 2.727 Å, 90.00 90.00 90.00°
Atoms (fractional coordinates):
1 Si 0.000 0.000 0.000
2 Si 0.500 0.500 0.000
3 Ni 0.250 0.250 0.500
4 Ni 0.250 0.750 0.500
5 Ni 0.750 0.250 0.500
6 Ni 0.750 0.750 0.500
7 P 0.000 0.500 0.000
8 P 0.500 0.000 0.000


# 12
This record from the Alexandria database describes an optimized crystal structure of Si2Ni8P. The functional is PBE.

Summary:
- uncorrected formation energy (eV/f.u.) = -5.0
- symmetry = C2/m (12)

Cell: 6.907 6.907 5.156 Å, 108.43 108.43 31.93°
Atoms (fractional coordinates):
1 Si 0.181 0.181 0.197
2 Si 0.819 0.819 0.803
3 Ni 0.021 0.021 0.274
4 Ni 0.201 0.201 0.781
5 Ni 0.342 0.342 0.550
6 Ni 0.399 0.399 0.065
7 Ni 0.601 0.601 0.935
8 Ni 0.658 0.658 0.450
9 Ni 0.799 0.799 0.219
10 Ni 0.979 0.979 0.726
11 P 0.500 0.500 0.500


# 13
This record from the Alexandria database describes an optimized crystal structure of SiNiP2. The functional is PBE.

Summary:
- uncorrected formation energy (eV/f.u.) = -0.3
- symmetry = P1 (1)

Cell: 3.173 3.550 6.073 Å, 82.75 75.01 63.82°
Atoms (fractional coordinates):
1 Si 0.000 0.000 0.000
2 Ni 0.997 0.506 0.505
3 P 0.596 0.596 0.214
4 P 0.600 0.111 0.696


# 14
This record from the Alexandria database describes an optimized crystal structure of SiNi2P. The functional is PBE.

Summary:
- uncorrected formation energy (eV/f.u.) = -0.9
- symmetry = R-3m (166)

Cell: 2.746 2.746 21.622 Å, 90.00 90.00 120.00°
Atoms (fractional coordinates):
1 Si 0.000 0.000 0.000
2 Si 0.333 0.667 0.667
3 Si 0.667 0.333 0.333
4 Ni 0.000 0.000 0.247
5 Ni 0.000 0.000 0.753
6 Ni 0.333 0.667 0.420
7 Ni 0.333 0.667 0.914
8 Ni 0.667 0.333 0.086
9 Ni 0.667 0.333 0.580
10 P 0.000 0.000 0.500
11 P 0.333 0.667 0.167
12 P 0.667 0.333 0.833


# 15
This record from the Alexandria database describes an optimized crystal structure of Si4NiP. The functional is PBE.

Summary:
- uncorrected formation energy (eV/f.u.) = 3.9
- symmetry = F-43m (216)

Cell: 4.970 4.970 4.970 Å, 60.00 60.00 60.00°
Atoms (fractional coordinates):
1 Si 0.125 0.125 0.125
2 Si 0.125 0.125 0.625
3 Si 0.125 0.625 0.125
4 Si 0.625 0.125 0.125
5 Ni 0.750 0.750 0.750
6 P 0.500 0.500 0.500


# 16
This record from the Alexandria database describes an optimized crystal structure of SiNi2P. The functional is PBE.

Summary:
- uncorrected formation energy (eV/f.u.) = -0.4
- symmetry = Fm-3m (225)

Cell: 5.737 5.737 5.737 Å, 90.00 90.00 90.00°
Atoms (fractional coordinates):
1 Si 0.000 0.000 0.000
2 Si 0.000 0.500 0.500
3 Si 0.500 0.000 0.500
4 Si 0.500 0.500 0.000
5 Ni 0.250 0.250 0.250
6 Ni 0.250 0.250 0.750
7 Ni 0.250 0.750 0.250
8 Ni 0.250 0.750 0.750
9 Ni 0.750 0.250 0.250
10 Ni 0.750 0.250 0.750
11 Ni 0.750 0.750 0.250
12 Ni 0.750 0.750 0.750
13 P 0.000 0.000 0.500
14 P 0.000 0.500 0.000
15 P 0.500 0.000 0.000
16 P 0.500 0.500 0.500


# 17
This record from the Alexandria database describes an optimized crystal structure of SiNiP2. The functional is PBE.

Summary:
- uncorrected formation energy (eV/f.u.) = 0.9
- symmetry = Cmm2 (35)

Cell: 3.502 3.806 8.512 Å, 90.00 90.00 90.00°
Atoms (fractional coordinates):
1 Si 0.000 0.000 0.000
2 Si 0.500 0.500 0.000
3 Ni 0.000 0.500 0.795
4 Ni 0.500 0.000 0.795
5 P 0.000 0.000 0.608
6 P 0.000 0.500 0.245
7 P 0.500 0.000 0.245
8 P 0.500 0.500 0.608


# 18
This record from the Alexandria database describes an optimized crystal structure of SiNiP2. The functional is PBE.

Summary:
- uncorrected formation energy (eV/f.u.) = 1.5
- symmetry = I-4m2 (119)

Cell: 3.911 3.911 6.851 Å, 90.00 90.00 90.00°
Atoms (fractional coordinates):
1 Si 0.000 0.000 0.000
2 Si 0.500 0.500 0.500
3 Ni 0.000 0.500 0.750
4 Ni 0.500 0.000 0.250
5 P 0.000 0.000 0.500
6 P 0.000 0.500 0.250
7 P 0.500 0.000 0.750
8 P 0.500 0.500 0.000


# 19
This record from the Alexandria database describes an optimized crystal structure of SiNiP2. The functional is PBE.

Summary:
- uncorrected formation energy (eV/f.u.) = -0.9
- symmetry = P3m1 (156)

Cell: 3.494 3.494 6.428 Å, 90.00 90.00 120.00°
Atoms (fractional coordinates):
1 Si 0.000 0.000 0.000
2 Ni 0.667 0.333 0.485
3 P 0.000 0.000 0.353
4 P 0.667 0.333 0.837


# 20
This record from the Alexandria database describes an optimized crystal structure of Si2Ni8P. The functional is PBE.

Summary:
- uncorrected formation energy (eV/f.u.) = -4.4
- symmetry = Immm (71)

Cell: 6.359 6.359 6.359 Å, 146.41 119.08 71.39°
Atoms (fractional coordinates):
1 Si 0.191 0.191 0.000
2 Si 0.809 0.809 0.000
3 Ni 0.064 0.339 0.725
4 Ni 0.186 0.000 0.186
5 Ni 0.366 0.866 0.500
6 Ni 0.385 0.661 0.725
7 Ni 0.615 0.339 0.275
8 Ni 0.634 0.134 0.500
9 Ni 0.814 0.000 0.814
10 Ni 0.936 0.661 0.275
11 P 0.500 0.500 0.000


# 21
This record from the Alexandria database describes an optimized crystal structure of Si2Ni7P5. The functional is PBE.

Summary:
- uncorrected formation energy (eV/f.u.) = -5.8
- symmetry = Pbcn (60)

Cell: 24.070 5.910 4.914 Å, 90.00 90.00 90.00°
Atoms (fractional coordinates):
1 Si 0.217 0.157 0.224
2 Si 0.217 0.843 0.724
3 Si 0.283 0.343 0.724
4 Si 0.283 0.657 0.224
5 Si 0.717 0.343 0.776
6 Si 0.717 0.657 0.276
7 Si 0.783 0.157 0.276
8 Si 0.783 0.843 0.776
9 Ni 0.000 0.000 0.000
10 Ni 0.000 0.000 0.500
11 Ni 0.074 0.456 0.501
12 Ni 0.074 0.544 0.001
13 Ni 0.139 0.051 0.493
14 Ni 0.139 0.949 0.993
15 Ni 0.206 0.469 0.501
16 Ni 0.206 0.531 0.001
17 Ni 0.294 0.031 0.001
18 Ni 0.294 0.969 0.501
19 Ni 0.361 0.449 0.993
20 Ni 0.361 0.551 0.493
21 Ni 0.426 0.044 0.001
22 Ni 0.426 0.956 0.501
23 Ni 0.500 0.500 0.000
24 Ni 0.500 0.500 0.500
25 Ni 0.574 0.044 0.499
26 Ni 0.574 0.956 0.999
27 Ni 0.639 0.449 0.507
28 Ni 0.639 0.551 0.007
29 Ni 0.706 0.031 0.499
30 Ni 0.706 0.969 0.999
31 Ni 0.794 0.469 0.999
32 Ni 0.794 0.531 0.499
33 Ni 0.861 0.051 0.007
34 Ni 0.861 0.949 0.507
35 Ni 0.926 0.456 0.999
36 Ni 0.926 0.544 0.499
37 P 0.000 0.332 0.750
38 P 0.000 0.668 0.250
39 P 0.072 0.177 0.190
40 P 0.072 0.823 0.690
41 P 0.142 0.316 0.811
42 P 0.142 0.684 0.311
43 P 0.358 0.184 0.311
44 P 0.358 0.816 0.811
45 P 0.428 0.323 0.690
46 P 0.428 0.677 0.190
47 P 0.500 0.168 0.250
48 P 0.500 0.832 0.750
49 P 0.572 0.323 0.810
50 P 0.572 0.677 0.310
51 P 0.642 0.184 0.189
52 P 0.642 0.816 0.689
53 P 0.858 0.316 0.689
54 P 0.858 0.684 0.189
55 P 0.928 0.177 0.310
56 P 0.928 0.823 0.810


# 22
This record from the Alexandria database describes an optimized crystal structure of SiNi2P. The functional is PBE.

Summary:
- uncorrected formation energy (eV/f.u.) = -1.0
- symmetry = C2/m (12)

Cell: 7.400 2.716 4.780 Å, 90.00 102.64 90.00°
Atoms (fractional coordinates):
1 Si 0.000 0.000 0.000
2 Si 0.500 0.500 0.000
3 Ni 0.249 0.500 0.249
4 Ni 0.251 0.000 0.751
5 Ni 0.749 0.000 0.249
6 Ni 0.751 0.500 0.751
7 P 0.000 0.500 0.500
8 P 0.500 0.000 0.500


# 23
This record from the Alexandria database describes an optimized crystal structure of SiNiP2. The functional is PBE.

Summary:
- uncorrected formation energy (eV/f.u.) = -0.3
- symmetry = P2/m (10)

Cell: 3.389 3.400 4.771 Å, 90.00 90.30 90.00°
Atoms (fractional coordinates):
1 Si 0.000 0.000 0.000
2 Ni 0.500 0.500 0.500
3 P 0.000 0.000 0.500
4 P 0.500 0.500 0.000


# 24
This record from the Alexandria database describes an optimized crystal structure of SiNiP2. The functional is PBE.

Summary:
- uncorrected formation energy (eV/f.u.) = 0.6
- symmetry = R3m (160)

Cell: 2.812 2.812 26.347 Å, 90.00 90.00 120.00°
Atoms (fractional coordinates):
1 Si 0.000 0.000 0.000
2 Si 0.333 0.667 0.667
3 Si 0.667 0.333 0.333
4 Ni 0.000 0.000 0.263
5 Ni 0.333 0.667 0.930
6 Ni 0.667 0.333 0.596
7 P 0.000 0.000 0.535
8 P 0.000 0.000 0.737
9 P 0.333 0.667 0.202
10 P 0.333 0.667 0.403
11 P 0.667 0.333 0.070
12 P 0.667 0.333 0.869


# 25
This record from the Alexandria database describes an optimized crystal structure of SiNi2P. The functional is PBE.

Summary:
- uncorrected formation energy (eV/f.u.) = -0.5
- symmetry = I4/mmm (139)

Cell: 3.790 3.790 6.504 Å, 90.00 90.00 90.00°
Atoms (fractional coordinates):
1 Si 0.000 0.000 0.000
2 Si 0.500 0.500 0.500
3 Ni 0.000 0.500 0.250
4 Ni 0.000 0.500 0.750
5 Ni 0.500 0.000 0.250
6 Ni 0.500 0.000 0.750
7 P 0.000 0.000 0.500
8 P 0.500 0.500 0.000


# 26
This record from the Alexandria database describes an optimized crystal structure of SiNiP2. The functional is PBE.

Summary:
- uncorrected formation energy (eV/f.u.) = 1.1
- symmetry = Cmmm (65)

Cell: 3.554 3.774 8.318 Å, 90.00 90.00 90.00°
Atoms (fractional coordinates):
1 Si 0.000 0.000 0.000
2 Si 0.500 0.500 0.000
3 Ni 0.000 0.000 0.500
4 Ni 0.500 0.500 0.500
5 P 0.000 0.500 0.300
6 P 0.000 0.500 0.700
7 P 0.500 0.000 0.300
8 P 0.500 0.000 0.700


Size of the total moment values (in μB per formula unit) by entry order: 0.00, 0.00, 0.00, 0.00, 0.00, 0.00, 0.00, 0.00, 0.00, 0.00, 0.00, 0.00, 0.00, 0.00, 0.00, 0.00, 0.00, 0.00, 0.00, 0.00, 0.00, 0.00, 0.00, 0.00, 0.00, 0.00.